# TlZnGaHg2

A geometry-optimized TlZnGaHg2 structure (PBE-GGA, Alexandria via LeMat-Bulk).

a b c (Å): 5.3068 5.3068 5.0361
angles (deg): 90.00 90.00 90.00
Closest atoms and distances in Å follow each position.
Element x y z (fractional)
1 Hg 0.5000 0.0000 0.0000  2 Ga 2.65
2 Ga 0.0000 0.0000 0.0000  2 Zn 2.52, 4 Hg 2.65
3 Zn 0.0000 0.0000 0.5000  2 Ga 2.52
4 Hg 0.0000 0.5000 0.0000  2 Ga 2.65
5 Tl 0.5000 0.5000 0.5000  8 Hg 3.66, 4 Zn 3.75

Calculated values
* Fermi-level density of states: 2.12 states/eV/cell
* calculated total energy: -1.303 eV/atom
* calculated volume: 141.8 Å³ per cell
* DFT formation energy: 0.151 eV/atom


# TlZnGaHg2

A geometry-optimized TlZnGaHg2 structure (PBE-GGA, Alexandria via LeMat-Bulk).

a b c (Å): 5.2968 5.2968 4.9247
angles (deg): 90.00 90.00 90.00
Closest atoms and distances in Å follow each position.
Element x y z (fractional)
1 Zn 0.0000 0.0000 0.0000  2 Ga 2.46, 4 Hg 2.65
2 Hg 0.5000 0.0000 0.0000  2 Zn 2.65
3 Ga 0.0000 0.0000 0.5000  2 Zn 2.46
4 Hg 0.0000 0.5000 0.0000  2 Zn 2.65
5 Tl 0.5000 0.5000 0.5000  8 Hg 3.62, 4 Ga 3.75

Calculated values
* Fermi-level density of states: 2.23 states/eV/cell
* calculated total energy: -1.305 eV/atom
* calculated volume: 138.2 Å³ per cell
* DFT formation energy: 0.149 eV/atom


# TlZnGaHg

A geometry-optimized TlZnGaHg structure (PBE-GGA, Alexandria via LeMat-Bulk).

a b c (Å): 5.0870 5.0870 5.0870
angles (deg): 60.00 60.00 60.00
Closest atoms and distances in Å follow each position.
Element x y z (fractional)
1 Tl 0.5000 0.5000 0.5000  4 Zn 3.12, 4 Ga 3.12
2 Zn 0.2500 0.2500 0.2500  4 Hg 3.12, 4 Tl 3.12
3 Hg 0.0000 0.0000 0.0000  4 Ga 3.12, 4 Zn 3.12
4 Ga 0.7500 0.7500 0.7500  4 Hg 3.12, 4 Tl 3.12

Calculated values
* Fermi-level density of states: 2.58 states/eV/cell
* calculated total energy: -1.557 eV/atom
* calculated volume: 93.1 Å³ per cell
* DFT formation energy: 0.185 eV/atom


# TmGaHg6

A geometry-optimized TmGaHg6 structure (PBE-GGA, Alexandria via LeMat-Bulk).

a b c (Å): 6.2741 6.2741 8.4760
angles (deg): 68.28 68.28 60.00
Closest atoms and distances in Å follow each position.
Element x y z (fractional)
1 Hg 0.9285 0.9285 0.6972  1 Tm 2.98, 5 Hg 3.02-3.25
2 Tm 0.0000 0.0000 0.0000  6 Hg 2.98
3 Ga 0.5000 0.5000 0.5000  12 Hg 3.48
4 Hg 0.9285 0.4458 0.6972  1 Tm 2.98, 5 Hg 3.02-3.25
5 Hg 0.5542 0.0715 0.3028  1 Tm 2.98, 5 Hg 3.02-3.25
6 Hg 0.0715 0.0715 0.3028  1 Tm 2.98, 5 Hg 3.02-3.25
7 Hg 0.4458 0.9285 0.6972  1 Tm 2.98, 5 Hg 3.02-3.25
8 Hg 0.0715 0.5542 0.3028  1 Tm 2.98, 5 Hg 3.02-3.25

Calculated values
* Fermi-level density of states: 3.49 states/eV/cell
* calculated total energy: -1.035 eV/atom
* calculated volume: 261.2 Å³ per cell
* DFT formation energy: 0.128 eV/atom


# Tm3Ga2Hg4

A geometry-optimized Tm3Ga2Hg4 structure (PBE-GGA, Alexandria via LeMat-Bulk).

a b c (Å): 4.7464 5.9147 8.8941
angles (deg): 114.84 90.00 113.66
Closest atoms and distances in Å follow each position.
Element x y z (fractional)
1 Tm 0.3354 0.6707 0.3277  8 Hg 3.10-3.42, 4 Ga 3.16-3.32, 1 Tm 3.46
2 Hg 0.3055 0.6109 0.9645  1 Ga 2.71, 2 Hg 2.86
3 Ga 0.6040 0.2079 0.2737  3 Hg 2.71-2.73
4 Tm 0.0000 0.0000 0.0000  6 Hg 3.09-3.36, 4 Ga 3.21, 2 Tm 3.46
5 Tm 0.6646 0.3293 0.6723  8 Hg 3.10-3.42, 4 Ga 3.16-3.32, 1 Tm 3.46
6 Hg 0.0870 0.1740 0.4150  2 Ga 2.73, 1 Hg 2.91
7 Ga 0.3960 0.7921 0.7263  3 Hg 2.71-2.73
8 Hg 0.6945 0.3891 0.0355  1 Ga 2.71, 2 Hg 2.86
9 Hg 0.9130 0.8260 0.5850  2 Ga 2.73, 1 Hg 2.91

Calculated values
* Fermi-level density of states: 4.13 states/eV/cell
* calculated total energy: -2.719 eV/atom
* calculated volume: 203.2 Å³ per cell
* DFT formation energy: -0.422 eV/atom


# TmGaHg

A geometry-optimized TmGaHg structure (PBE-GGA, Alexandria via LeMat-Bulk).

a b c (Å): 4.6530 4.6530 4.6530
angles (deg): 60.00 60.00 60.00
Closest atoms and distances in Å follow each position.
Element x y z (fractional)
1 Hg 0.0000 0.0000 0.0000  4 Ga 2.85
2 Ga 0.2500 0.2500 0.2500  4 Hg 2.85, 4 Tm 2.85
3 Tm 0.5000 0.5000 0.5000  4 Ga 2.85

Calculated values
* Fermi-level density of states: 0.91 states/eV/cell
* calculated total energy: -2.968 eV/atom
* calculated volume: 71.2 Å³ per cell
* DFT formation energy: -0.368 eV/atom


# TmGaHg

A geometry-optimized TmGaHg structure (PBE-GGA, Alexandria via LeMat-Bulk).

a b c (Å): 3.4668 3.4668 6.1193
angles (deg): 106.46 106.46 90.00
Closest atoms and distances in Å follow each position.
Element x y z (fractional)
1 Hg 0.9574 0.9574 0.9149  4 Ga 3.01, 4 Tm 3.16
2 Ga 0.6133 0.6133 0.2266  4 Hg 3.01, 4 Tm 3.08
3 Tm 0.2793 0.2793 0.5586  4 Ga 3.08, 4 Hg 3.16

Calculated values
* Fermi-level density of states: 1.96 states/eV/cell
* calculated total energy: -2.906 eV/atom
* calculated volume: 67.4 Å³ per cell
* DFT formation energy: -0.306 eV/atom


# TmGa2Hg

A geometry-optimized TmGa2Hg structure (PBE-GGA, Alexandria via LeMat-Bulk).

a b c (Å): 4.9061 4.9061 6.7626
angles (deg): 68.73 68.73 60.00
Closest atoms and distances in Å follow each position.
Element x y z (fractional)
1 Ga 0.1428 0.1428 0.5716  1 Hg 2.63, 3 Tm 2.87
2 Tm 0.5000 0.5000 0.5000  6 Ga 2.87
3 Hg 0.0000 0.0000 0.0000  2 Ga 2.63
4 Ga 0.8572 0.8572 0.4284  1 Hg 2.63, 3 Tm 2.87

Calculated values
* Fermi-level density of states: 2.18 states/eV/cell
* distance to the lowest polymorph of the same formula: 51.1 kJ/mol of atoms
* calculated total energy: -2.579 eV/atom
* calculated volume: 128.0 Å³ per cell
* DFT formation energy: 0.128 eV/atom